# 1
## K2SrCaCd (PBE)

Data for an optimized crystal structure of K2SrCaCd.

The structure in CIF format:
```
data_K2SrCaCd
_chemical_formula_sum 'K2 Sr1 Ca1 Cd1'
_symmetry_space_group_name_H-M 'P 4/m m m'
_symmetry_Int_Tables_number 123
_symmetry_space_group_name_Hall '-P 4 2'
_cell_length_a 7.885
_cell_length_b 7.885
_cell_length_c 7.590
_cell_angle_alpha 90.00
_cell_angle_beta 90.00
_cell_angle_gamma 90.00
loop_
_atom_site_label
_atom_site_fract_x
_atom_site_fract_y
_atom_site_fract_z
_atom_site_occupancy
K1 0.000 0.500 0.000 1
Sr1 0.000 0.000 0.000 1
Ca1 0.000 0.000 0.500 1
Cd1 0.500 0.500 0.500 1
```

Results
formation enthalpy at 0 K = 0.663 eV per atom
density of states at the Fermi level = 4.25 states/eV/f.u.
volume = 471.9 Å³/cell
total energy = -0.6955 eV/atom
magnetization = 0.000 μB per formula unit

# 2
## LiTlPb3 (PBE)

Data for an optimized crystal structure of LiTlPb3.

The structure in CIF format:
```
data_LiTlPb3
_chemical_formula_sum 'Li2 Tl2 Pb6'
_symmetry_space_group_name_H-M 'P 1 21/m 1'
_symmetry_Int_Tables_number 11
_cell_length_a 8.252
_cell_length_b 3.587
_cell_length_c 9.840
_cell_angle_alpha 90.00
_cell_angle_beta 101.56
_cell_angle_gamma 90.00
loop_
_symmetry_equiv_pos_as_xyz
'x,y,z'
'-x,-y,-z'
'-x,y+1/2,-z'
'x,-y+1/2,z'
loop_
_atom_site_label
_atom_site_fract_x
_atom_site_fract_y
_atom_site_fract_z
_atom_site_occupancy
Li1 0.249 0.250 0.250 1
Tl1 0.039 0.250 0.666 1
Pb1 0.159 0.750 0.964 1
Pb2 0.343 0.750 0.537 1
Pb3 0.460 0.250 0.834 1
```

Results
formation enthalpy at 0 K = -0.073 eV per atom
density of states at the Fermi level = 1.86 states/eV/f.u.
energy relative to the lowest polymorph listed for this composition = 0.0000 eV/atom
volume = 285.3 Å³/cell
total energy = -3.1538 eV/atom
magnetization = 0.000 μB per formula unit

# 3
## InAgTe3 (PBE)

Data for an optimized crystal structure of InAgTe3.

The structure in CIF format:
```
data_InAgTe3
_chemical_formula_sum 'In1 Ag1 Te3'
_symmetry_space_group_name_H-M 'P m -3 m'
_symmetry_Int_Tables_number 221
_symmetry_space_group_name_Hall '-P 4 2 3'
_cell_length_a 5.513
_cell_length_b 5.513
_cell_length_c 5.513
_cell_angle_alpha 90.00
_cell_angle_beta 90.00
_cell_angle_gamma 90.00
loop_
_atom_site_label
_atom_site_fract_x
_atom_site_fract_y
_atom_site_fract_z
_atom_site_occupancy
In1 0.000 0.000 0.000 1
Ag1 0.500 0.500 0.500 1
Te1 0.000 0.500 0.500 1
```

Results
E_form (uncorrected) = 31 kJ/mol of atoms
density of states at the Fermi level = 5.65 states/eV/f.u.
energy relative to the lowest polymorph listed for this composition = 0.4283 eV/atom
volume = 167.6 Å³/cell
total energy = -2.6837 eV/atom
magnetization = 0.000 μB per formula unit